1.
# InFe2Se

A relaxed InFe2Se crystal (PBE, the Alexandria database).

The structure belongs to space group I-4m2 (No. 119); the cell edges are 3.837, 3.837 and 8.843 Å and the angles 90.00°, 90.00° and 90.00°. The asymmetric unit holds In at (0.000, 0.000, 0.000), Fe at (0.000, 0.000, 0.500), Fe at (0.000, 0.500, 0.250) and Se at (0.000, 0.500, 0.750).

For the volume, the calculation gives 130.2 Å³/cell. Its formation energy without anion corrections is 1.576 eV per formula unit.



2.
# LiTe2Se

A relaxed LiTe2Se crystal (PBE, the Alexandria database).

The structure belongs to space group Cmm2 (No. 35); the cell edges are 4.239, 4.301 and 12.678 Å and the angles 90.00°, 90.00° and 90.00°. The asymmetric unit holds Li at (0.000, 0.000, 0.000), Te at (0.000, 0.000, 0.467), Te at (0.000, 0.500, 0.803) and Se at (0.000, 0.500, 0.132).

For the volume, the calculation gives 231.2 Å³/cell. Its formation energy without anion corrections is -1.049 eV per formula unit.



3.
# SrMg2Sn

A relaxed SrMg2Sn crystal (PBE, the Alexandria database).

The structure belongs to space group R-3m (No. 166, hexagonal axes); the cell edges are 4.7857, 4.7857 and 25.6083 Å and the angles 90.00°, 90.00° and 120.00°. The asymmetric unit holds Sr at (0.0000, 0.0000, 0.0000), Mg at (0.0000, 0.0000, 0.1363) and Sn at (0.0000, 0.0000, 0.5000).

The calculated formation energy comes out at 0.199 eV per atom. For the volume, the calculation gives 507.9 Å³/cell.



no.,energy (eV per atom)
1,-5.3931
2,-3.1827
3,-2.0190